# 1
{
  "formula": "Np2Sb4Ru",
  "functional": "GGA-PBE",
  "state": "relaxed",
  "cell": [[4.435, 0.000, 0.000], [0.000, 4.435, 0.000], [0.000, 0.000, 9.022]],
  "species": ["Np", "Np", "Sb", "Sb", "Sb", "Sb", "Ru"],
  "frac_coords": [[0.500, 0.000, 0.773], [0.000, 0.500, 0.227], [0.500, 0.000, 0.156], [0.000, 0.500, 0.844], [0.500, 0.500, 0.500], [0.000, 0.000, 0.500], [0.500, 0.500, 0.000]],
  "final_energy_ha_per_atom": -0.2785,
  "formation_energy_uncorrected_ev_per_atom": -0.201,
  "sg": "No. 115"
}


# 2
{
  "formula": "NpSb12Ru4",
  "functional": "GGA-PBE",
  "state": "relaxed",
  "cell": [[0.349, -5.890, -5.558], [7.471, 1.618, 2.695], [-4.645, -2.401, 6.194]],
  "species": ["Np", "Sb", "Sb", "Sb", "Sb", "Sb", "Sb", "Sb", "Sb", "Sb", "Sb", "Sb", "Sb", "Ru", "Ru", "Ru", "Ru"],
  "frac_coords": [[0.000, 0.000, 0.000], [0.842, 0.338, 0.180], [0.338, 0.495, 0.158], [0.820, 0.158, 0.662], [0.338, 0.180, 0.842], [0.180, 0.842, 0.338], [0.662, 0.505, 0.842], [0.495, 0.158, 0.338], [0.505, 0.842, 0.662], [0.662, 0.820, 0.158], [0.842, 0.662, 0.505], [0.158, 0.338, 0.495], [0.158, 0.662, 0.820], [0.000, 0.500, 0.000], [0.500, 0.000, 0.000], [0.500, 0.500, 0.500], [0.000, 0.000, 0.500]],
  "final_energy_ha_per_atom": -0.2236,
  "formation_energy_uncorrected_ev_per_atom": -0.231,
  "sg": "No. 204"
}


# 3
{
  "formula": "Np4Sb6Ru7",
  "functional": "GGA-PBE",
  "state": "relaxed",
  "cell": [[7.135, 0.000, -2.523], [-3.568, 6.179, -2.523], [0.000, 0.000, 7.568]],
  "species": ["Np", "Np", "Np", "Np", "Sb", "Sb", "Sb", "Sb", "Sb", "Sb", "Ru", "Ru", "Ru", "Ru", "Ru", "Ru", "Ru"],
  "frac_coords": [[0.500, 0.000, 0.000], [0.500, 0.500, 0.500], [0.000, 0.500, 0.000], [0.000, 0.000, 0.500], [0.688, 0.000, 0.688], [0.688, 0.688, 0.000], [0.000, 0.312, 0.312], [0.312, 0.000, 0.312], [0.312, 0.312, 0.000], [0.000, 0.688, 0.688], [0.750, 0.500, 0.250], [0.250, 0.750, 0.500], [0.500, 0.750, 0.250], [0.750, 0.250, 0.500], [0.250, 0.500, 0.750], [0.500, 0.250, 0.750], [0.000, 0.000, 0.000]],
  "final_energy_ha_per_atom": -0.3149,
  "formation_energy_uncorrected_ev_per_atom": -0.249,
  "sg": "No. 229"
}


# 4
{
  "formula": "Np2Si2SbRu5",
  "functional": "GGA-PBE",
  "state": "relaxed",
  "cell": [[-0.309, 2.800, 2.007], [-8.764, -3.195, 3.108], [4.370, -4.808, 7.380]],
  "species": ["Np", "Np", "Np", "Np", "Si", "Si", "Si", "Si", "Sb", "Sb", "Ru", "Ru", "Ru", "Ru", "Ru", "Ru", "Ru", "Ru", "Ru", "Ru"],
  "frac_coords": [[0.000, 0.675, 0.175], [0.000, 0.325, 0.825], [0.000, 0.175, 0.325], [0.000, 0.825, 0.675], [0.000, 0.122, 0.622], [0.000, 0.878, 0.378], [0.000, 0.622, 0.878], [0.000, 0.378, 0.122], [0.000, 0.000, 0.000], [0.000, 0.500, 0.500], [0.500, 0.213, 0.072], [0.500, 0.787, 0.928], [0.500, 0.072, 0.787], [0.500, 0.713, 0.428], [0.500, 0.928, 0.213], [0.500, 0.287, 0.572], [0.500, 0.572, 0.713], [0.500, 0.428, 0.287], [0.500, 0.500, 0.000], [0.500, 0.000, 0.500]],
  "final_energy_ha_per_atom": -0.3335,
  "formation_energy_uncorrected_ev_per_atom": -0.353,
  "sg": "No. 127"
}


# 5
{
  "formula": "NpTcSbRu",
  "functional": "GGA-PBE",
  "state": "relaxed",
  "cell": [[4.682, 0.000, 0.000], [2.341, 4.055, 0.000], [2.341, 1.352, 3.823]],
  "species": ["Np", "Sb", "Tc", "Ru"],
  "frac_coords": [[0.000, 0.000, 0.000], [0.500, 0.500, 0.500], [0.250, 0.250, 0.250], [0.750, 0.750, 0.750]],
  "final_energy_ha_per_atom": -0.3405,
  "formation_energy_uncorrected_ev_per_atom": -0.090,
  "sg": "No. 216"
}


# 6
{
  "formula": "NpSc6Ru5",
  "functional": "GGA-PBE",
  "state": "relaxed",
  "cell": [[-4.475, 0.137, -0.908], [-1.315, -2.289, 6.133], [1.970, 6.491, 2.845]],
  "species": ["Np", "Sc", "Sc", "Sc", "Sc", "Sc", "Sc", "Ru", "Ru", "Ru", "Ru", "Ru"],
  "frac_coords": [[0.000, 0.000, 0.000], [0.825, 0.738, 0.648], [0.825, 0.262, 0.648], [0.500, 0.281, 0.000], [0.500, 0.719, 0.000], [0.175, 0.738, 0.352], [0.175, 0.262, 0.352], [0.667, 0.500, 0.334], [0.351, 0.000, 0.700], [0.000, 0.500, 0.000], [0.649, 0.000, 0.300], [0.333, 0.500, 0.666]],
  "final_energy_ha_per_atom": -0.3106,
  "sg": "No. 10",
  "e_form_ev_per_atom": -0.34
}


# 7
{
  "formula": "NpScRu2",
  "functional": "GGA-PBE",
  "state": "relaxed",
  "cell": [[4.651, 0.000, 0.000], [2.326, 4.028, 0.000], [2.326, 1.343, 3.798]],
  "species": ["Np", "Ru", "Ru", "Sc"],
  "frac_coords": [[0.250, 0.250, 0.250], [0.000, 0.000, 0.000], [0.500, 0.500, 0.500], [0.750, 0.750, 0.750]],
  "final_energy_ha_per_atom": -0.3598,
  "sg": "No. 225",
  "e_form_ev_per_atom": -0.34
}


# 8
{
  "formula": "NpScRu2",
  "functional": "GGA-PBE",
  "state": "relaxed",
  "cell": [[3.265, 0.000, 0.000], [0.000, 4.666, 0.000], [0.000, 0.000, 4.666]],
  "species": ["Np", "Ru", "Ru", "Sc"],
  "frac_coords": [[0.500, 0.500, 0.500], [0.000, 0.000, 0.500], [0.000, 0.500, 0.000], [0.500, 0.000, 0.000]],
  "final_energy_ha_per_atom": -0.3597,
  "sg": "No. 123",
  "e_form_ev_per_atom": -0.33
}


# 9
{
  "formula": "NpSc2Ru3",
  "functional": "GGA-PBE",
  "state": "relaxed",
  "cell": [[3.265, 0.000, 0.000], [0.000, 4.408, -1.459], [0.000, -0.043, 7.256]],
  "species": ["Np", "Sc", "Sc", "Ru", "Ru", "Ru"],
  "frac_coords": [[0.000, 0.000, 0.000], [0.000, 0.328, 0.657], [0.000, 0.672, 0.343], [0.500, 0.500, 0.000], [0.500, 0.838, 0.676], [0.500, 0.162, 0.324]],
  "final_energy_ha_per_atom": -0.3434,
  "sg": "No. 65",
  "e_form_ev_per_atom": -0.44
}


# 10
{
  "formula": "NpScRu",
  "functional": "GGA-PBE",
  "state": "relaxed",
  "cell": [[3.211, 0.000, 0.000], [0.000, 5.840, 0.000], [-1.605, -2.920, 6.259]],
  "species": ["Ru", "Ru", "Np", "Np", "Sc", "Sc"],
  "frac_coords": [[0.886, 0.386, 0.771], [0.114, 0.614, 0.229], [0.500, 0.802, 0.000], [0.500, 0.198, 0.000], [0.210, 0.210, 0.421], [0.790, 0.790, 0.579]],
  "final_energy_ha_per_atom": -0.3552,
  "sg": "No. 71",
  "e_form_ev_per_atom": -0.15
}


# 11
{
  "formula": "NpSc4Ru5",
  "functional": "GGA-PBE",
  "state": "relaxed",
  "cell": [[3.248, 0.000, 0.000], [0.000, 3.248, 0.000], [0.000, 0.000, 16.177]],
  "species": ["Np", "Sc", "Sc", "Sc", "Sc", "Ru", "Ru", "Ru", "Ru", "Ru"],
  "frac_coords": [[0.000, 0.000, 0.000], [0.000, 0.000, 0.210], [0.000, 0.000, 0.403], [0.000, 0.000, 0.597], [0.000, 0.000, 0.790], [0.500, 0.500, 0.098], [0.500, 0.500, 0.301], [0.500, 0.500, 0.500], [0.500, 0.500, 0.699], [0.500, 0.500, 0.902]],
  "final_energy_ha_per_atom": -0.3288,
  "sg": "No. 123",
  "e_form_ev_per_atom": -0.48
}


# 12
{
  "formula": "NpSc3Ru4",
  "functional": "GGA-PBE",
  "state": "relaxed",
  "cell": [[3.255, 0.000, 0.000], [0.000, 4.626, 0.000], [0.000, 0.000, 9.113]],
  "species": ["Np", "Sc", "Sc", "Sc", "Ru", "Ru", "Ru", "Ru"],
  "frac_coords": [[0.500, 0.500, 0.000], [0.500, 0.000, 0.262], [0.500, 0.500, 0.500], [0.500, 0.000, 0.738], [0.000, 0.000, 0.500], [0.000, 0.500, 0.758], [0.000, 0.000, 0.000], [0.000, 0.500, 0.242]],
  "final_energy_ha_per_atom": -0.3351,
  "sg": "No. 47",
  "e_form_ev_per_atom": -0.49
}


# 13
{
  "formula": "Sm2Np2ScRu5",
  "functional": "GGA-PBE",
  "state": "relaxed",
  "cell": [[3.560, 0.000, 0.000], [0.000, 10.492, 0.000], [0.000, 0.000, 10.492]],
  "species": ["Sm", "Sm", "Sm", "Sm", "Np", "Np", "Np", "Np", "Sc", "Sc", "Ru", "Ru", "Ru", "Ru", "Ru", "Ru", "Ru", "Ru", "Ru", "Ru"],
  "frac_coords": [[0.000, 0.672, 0.172], [0.000, 0.328, 0.828], [0.000, 0.172, 0.328], [0.000, 0.828, 0.672], [0.000, 0.139, 0.639], [0.000, 0.861, 0.361], [0.000, 0.639, 0.861], [0.000, 0.361, 0.139], [0.000, 0.000, 0.000], [0.000, 0.500, 0.500], [0.500, 0.203, 0.057], [0.500, 0.797, 0.943], [0.500, 0.057, 0.797], [0.500, 0.703, 0.443], [0.500, 0.943, 0.203], [0.500, 0.297, 0.557], [0.500, 0.557, 0.703], [0.500, 0.443, 0.297], [0.500, 0.500, 0.000], [0.500, 0.000, 0.500]],
  "final_energy_ha_per_atom": -0.3274,
  "sg": "No. 127",
  "e_form_ev_per_atom": -0.11
}


# 14
{
  "formula": "NpScTcRu",
  "functional": "GGA-PBE",
  "state": "relaxed",
  "cell": [[4.649, 0.000, 0.000], [2.325, 4.026, 0.000], [2.325, 1.342, 3.796]],
  "species": ["Np", "Ru", "Sc", "Tc"],
  "frac_coords": [[0.500, 0.500, 0.500], [0.250, 0.250, 0.250], [0.000, 0.000, 0.000], [0.750, 0.750, 0.750]],
  "final_energy_ha_per_atom": -0.3653,
  "sg": "No. 216",
  "e_form_ev_per_atom": -0.21
}


# 15
{
  "formula": "Np3Tl3RuSe8",
  "functional": "GGA-PBE",
  "state": "relaxed",
  "cell": [[7.900, 0.000, 0.000], [-3.950, 6.839, -0.030], [0.000, -4.523, 8.131]],
  "species": ["Np", "Np", "Np", "Tl", "Tl", "Tl", "Ru", "Se", "Se", "Se", "Se", "Se", "Se", "Se", "Se"],
  "frac_coords": [[0.500, 0.000, 0.500], [0.500, 0.500, 0.500], [0.000, 0.500, 0.500], [0.000, 0.000, 0.000], [0.000, 0.500, 0.000], [0.500, 0.500, 0.000], [0.000, 0.000, 0.500], [0.263, 0.526, 0.289], [0.737, 0.474, 0.711], [0.782, 0.564, 0.307], [0.218, 0.436, 0.693], [0.782, 0.025, 0.307], [0.218, 0.975, 0.693], [0.243, 0.025, 0.307], [0.757, 0.975, 0.693]],
  "final_energy_ha_per_atom": -0.2311,
  "formation_energy_uncorrected_ev_per_atom": -0.750,
  "sg": "No. 166"
}


# 16
{
  "formula": "NpSiRu3",
  "functional": "GGA-PBE",
  "state": "relaxed",
  "cell": [[-3.752, -4.800, 0.641], [3.486, -0.885, 4.959], [-1.551, 5.921, 0.245]],
  "species": ["Np", "Np", "Si", "Si", "Ru", "Ru", "Ru", "Ru", "Ru", "Ru"],
  "frac_coords": [[0.988, 0.738, 0.750], [0.012, 0.262, 0.250], [0.500, 0.500, 0.000], [0.500, 0.000, 0.500], [0.500, 0.313, 0.313], [0.000, 0.687, 0.187], [0.500, 0.687, 0.687], [0.000, 0.313, 0.813], [0.711, 0.961, 0.250], [0.289, 0.039, 0.750]],
  "final_energy_ha_per_atom": -0.3475,
  "formation_energy_uncorrected_ev_per_atom": -0.217,
  "sg": "No. 74"
}


# 17
{
  "formula": "NpSiRu2",
  "functional": "GGA-PBE",
  "state": "relaxed",
  "cell": [[-2.465, -0.721, -1.379], [0.115, -1.379, -2.566], [-0.844, -8.359, 2.798]],
  "species": ["Np", "Ru", "Ru", "Si"],
  "frac_coords": [[0.000, 0.000, 0.000], [0.099, 0.099, 0.704], [0.901, 0.901, 0.296], [0.500, 0.500, 0.500]],
  "final_energy_ha_per_atom": -0.3377,
  "formation_energy_uncorrected_ev_per_atom": 0.039,
  "sg": "No. 166"
}


# 18
{
  "formula": "NpSi2Ru2",
  "functional": "GGA-PBE",
  "state": "relaxed",
  "cell": [[5.649, 0.013, 0.000], [2.583, 5.024, 0.000], [-4.116, -2.518, 2.937]],
  "species": ["Np", "Si", "Si", "Ru", "Ru"],
  "frac_coords": [[0.000, 0.000, 0.000], [0.628, 0.628, 0.000], [0.372, 0.372, 0.000], [0.250, 0.750, 0.500], [0.750, 0.250, 0.500]],
  "final_energy_ha_per_atom": -0.3329,
  "formation_energy_uncorrected_ev_per_atom": -0.591,
  "sg": "No. 139"
}


# 19
{
  "formula": "NpSi2Ru",
  "functional": "GGA-PBE",
  "state": "relaxed",
  "cell": [[-2.480, 0.662, -1.525], [-1.642, -0.551, 2.432], [0.610, 6.779, 1.949]],
  "species": ["Np", "Ru", "Si", "Si"],
  "frac_coords": [[0.500, 0.500, 0.500], [0.500, 0.500, 0.000], [0.000, 0.000, 0.798], [0.000, 0.000, 0.202]],
  "final_energy_ha_per_atom": -0.3163,
  "formation_energy_uncorrected_ev_per_atom": -0.343,
  "sg": "No. 123"
}


# 20
{
  "formula": "NpSi2Ru",
  "functional": "GGA-PBE",
  "state": "relaxed",
  "cell": [[4.068, 0.000, 0.000], [2.034, 3.523, 0.000], [2.034, 1.174, 4.867]],
  "species": ["Np", "Ru", "Si", "Si"],
  "frac_coords": [[0.000, 0.000, 0.000], [0.500, 0.500, 0.500], [0.786, 0.786, 0.641], [0.214, 0.214, 0.359]],
  "final_energy_ha_per_atom": -0.3183,
  "formation_energy_uncorrected_ev_per_atom": -0.395,
  "sg": "No. 166"
}


# 21
{
  "formula": "NpSi3Ru3",
  "functional": "GGA-PBE",
  "state": "relaxed",
  "cell": [[6.478, 0.000, 0.000], [0.000, 6.478, 0.000], [0.000, 0.000, 6.478]],
  "species": ["Np", "Np", "Ru", "Ru", "Ru", "Ru", "Ru", "Ru", "Si", "Si", "Si", "Si", "Si", "Si"],
  "frac_coords": [[0.500, 0.500, 0.500], [0.000, 0.000, 0.000], [0.000, 0.250, 0.500], [0.000, 0.750, 0.500], [0.500, 0.000, 0.750], [0.750, 0.500, 0.000], [0.500, 0.000, 0.250], [0.250, 0.500, 0.000], [0.250, 0.000, 0.500], [0.000, 0.500, 0.250], [0.500, 0.750, 0.000], [0.750, 0.000, 0.500], [0.000, 0.500, 0.750], [0.500, 0.250, 0.000]],
  "final_energy_ha_per_atom": -0.2973,
  "formation_energy_uncorrected_ev_per_atom": 0.057,
  "sg": "No. 223"
}


# 22
{
  "formula": "NpSiRu2",
  "functional": "GGA-PBE",
  "state": "relaxed",
  "cell": [[-2.579, -1.773, -3.510], [3.393, -0.034, -2.476], [3.276, -4.942, 4.557]],
  "species": ["Np", "Np", "Si", "Si", "Ru", "Ru", "Ru", "Ru"],
  "frac_coords": [[0.969, 0.250, 0.782], [0.031, 0.750, 0.218], [0.410, 0.750, 0.709], [0.590, 0.250, 0.291], [0.245, 0.250, 0.501], [0.755, 0.750, 0.499], [0.607, 0.250, 0.931], [0.393, 0.750, 0.069]],
  "final_energy_ha_per_atom": -0.3507,
  "formation_energy_uncorrected_ev_per_atom": -0.313,
  "sg": "No. 11"
}


# 23
{
  "formula": "NpSiRu",
  "functional": "GGA-PBE",
  "state": "relaxed",
  "cell": [[15.415, 0.000, 0.000], [0.000, 3.993, -0.176], [0.000, 0.156, 3.535]],
  "species": ["Si", "Si", "Si", "Si", "Np", "Np", "Np", "Np", "Ru", "Ru", "Ru", "Ru"],
  "frac_coords": [[0.538, 0.250, 0.500], [0.038, 0.250, 0.500], [0.462, 0.750, 0.500], [0.962, 0.750, 0.500], [0.372, 0.250, 0.000], [0.128, 0.750, 0.000], [0.628, 0.750, 0.000], [0.872, 0.250, 0.000], [0.307, 0.750, 0.500], [0.193, 0.250, 0.500], [0.693, 0.250, 0.500], [0.807, 0.750, 0.500]],
  "final_energy_ha_per_atom": -0.3444,
  "formation_energy_uncorrected_ev_per_atom": -0.158,
  "sg": "No. 51"
}


Density readings, ordered: 9.9, 8.5, 11.9, 11.5, 12.8, 7.9, 11.3, 11.3, 10.0, 10.8, 9.0, 9.4, 11.2, 11.2, 7.8, 11.5, 12.1, 9.9, 10.4, 9.4, 7.6, 11.7, 11.2 g/cm³